# Ta2CdW

Ta2CdW after structural relaxation (PBE, Alexandria via LeMat-Bulk).

POSCAR file:
```
Ta2CdW
1.0
1.639 -2.314 0.000
1.639 2.314 0.000
0.000 0.000 9.601
Ta Cd W
2 1 1
Direct
0.000 0.000 0.234
0.000 0.000 0.766
0.500 0.500 0.500
0.500 0.500 0.000
```

Values from the calculation:
- Calculated volume: 18.21 A^3/atom
- Density of states at the Fermi level: 3.179 states/eV per cell
- E: -37.09 eV per formula unit
- Formation enthalpy at 0 K: 0.120 eV/atom